FeHg4Rh | PBE-GGA | relaxed

Results
The space-group type is F-43m (216). Its crystal system is cubic. Its density of states at the Fermi level is 5.3 states/eV per cell. As for the formation energy: 0.749 eV/atom.

Cell lengths 5.6063, 5.6063, 5.6063 Å; angles 60.00, 60.00, 60.00 degrees
Last column: magnetic moment on the atom in μB.
Element x y z (fractional)
Fe 0.0000 0.0000 0.0000  3.15
Hg 0.8747 0.3751 0.3751  -0.01
Hg 0.3751 0.3751 0.8747  -0.01
Hg 0.3751 0.8747 0.3751  -0.01
Hg 0.3751 0.3751 0.3751  -0.01
Rh 0.7500 0.7500 0.7500  0.51

---

Tl2Hg | PBE-GGA | relaxed

Results
The space-group type is I4/mmm (139). Its crystal system is tetragonal. Its density of states at the Fermi level is 1.4 states/eV per cell. As for the formation energy: 0.000 eV/atom.

Cell lengths 6.2170, 6.2170, 6.2170 Å; angles 142.27, 142.27, 54.42 degrees
Element x y z (fractional)
Tl 0.6618 0.6618 0.0000
Tl 0.3382 0.3382 0.0000
Hg 0.0000 0.0000 0.0000

---

NaSmIr | PBE-GGA | relaxed

Results
The space-group type is C2/m (12). Its crystal system is monoclinic. Its density of states at the Fermi level is 3.2 states/eV per cell. As for the formation energy: -0.096 eV/atom.

Cell lengths 4.6852, 4.6852, 7.3867 Å; angles 99.47, 99.47, 89.24 degrees
Element x y z (fractional)
Na 0.8225 0.8225 0.2847
Na 0.1775 0.1775 0.7153
Sm 0.6949 0.6949 0.7793
Sm 0.3051 0.3051 0.2207
Ir 0.2513 0.7487 0.0000
Ir 0.7487 0.2513 0.0000

---

Y3CdO | PBE-GGA | relaxed

Results
The space-group type is R3m (160). Its crystal system is trigonal. Its final energy is -29.448 eV/cell. Its density of states at the Fermi level is 4.5 states/eV per cell.

Cell lengths 5.7880, 5.7880, 5.7880 Å; angles 110.08, 110.08, 110.08 degrees
Last column: magnetic moment on the atom in μB.
Element x y z (fractional)
Y 0.9147 0.2858 0.9147  0.21
Y 0.2858 0.9147 0.9147  0.22
Y 0.9147 0.9147 0.2858  0.20
O 0.1716 0.1716 0.1716  0.00
Cd 0.5881 0.5881 0.5881  0.01

---

Number 1: spin magnetization 0.60 μB/atom. Number 2: spin magnetization 0.00 μB/atom. Number 3: spin magnetization 0.00 μB/atom. Number 4: spin magnetization 0.24 μB/atom.